[1]
## Tb3DyPd2 (PBE)

Data for an optimized crystal structure of Tb3DyPd2.

Cell: 3.780 9.780 8.539 Å, 90.00 90.00 90.00°
Element x y z (fractional)
Tb 0.000 0.066 0.000
Tb 0.000 0.284 0.342
Tb 0.000 0.716 0.842
Tb 0.000 0.934 0.500
Tb 0.500 0.217 0.679
Tb 0.500 0.783 0.179
Dy 0.500 0.435 0.020
Dy 0.500 0.565 0.520
Pd 0.000 0.428 0.747
Pd 0.000 0.572 0.247
Pd 0.500 0.073 0.273
Pd 0.500 0.927 0.773

ΔE_f: -3.51 eV per formula unit
DOS(E_F): 14.1 states/eV per cell


[2]
## Tb4Dy3Pd4 (PBE)

Data for an optimized crystal structure of Tb4Dy3Pd4.

Cell: 9.367 9.367 9.367 Å, 156.38 121.11 64.35°
Element x y z (fractional)
Tb 0.025 0.839 0.186
Tb 0.347 0.161 0.186
Tb 0.653 0.839 0.814
Tb 0.975 0.161 0.814
Dy 0.000 0.500 0.500
Dy 0.392 0.392 0.000
Dy 0.608 0.608 0.000
Pd 0.246 0.746 0.500
Pd 0.333 0.000 0.333
Pd 0.667 0.000 0.667
Pd 0.754 0.254 0.500

ΔE_f: -6.38 eV per formula unit
DOS(E_F): 12.6 states/eV per cell


[3]
## TbDy3Pd (PBE)

Data for an optimized crystal structure of TbDy3Pd.

Cell: 6.371 6.371 13.742 Å, 113.91 113.91 33.91°
Element x y z (fractional)
Tb 0.000 0.000 0.000
Tb 0.115 0.115 0.293
Dy 0.320 0.320 0.765
Dy 0.349 0.349 0.133
Dy 0.649 0.649 0.531
Dy 0.679 0.679 0.897
Dy 0.884 0.884 0.371
Dy 0.999 0.999 0.662
Pd 0.336 0.336 0.510
Pd 0.665 0.665 0.153

ΔE_f: -1.76 eV per formula unit
DOS(E_F): 12.1 states/eV per cell


[4]
## TbDy5Pd2 (PBE)

Data for an optimized crystal structure of TbDy5Pd2.

Cell: 6.638 6.638 18.124 Å, 90.00 90.00 146.55°
Element x y z (fractional)
Tb 0.146 0.854 0.750
Tb 0.854 0.146 0.250
Dy 0.119 0.881 0.250
Dy 0.153 0.847 0.542
Dy 0.153 0.847 0.958
Dy 0.446 0.554 0.605
Dy 0.446 0.554 0.895
Dy 0.554 0.446 0.105
Dy 0.554 0.446 0.395
Dy 0.847 0.153 0.042
Dy 0.847 0.153 0.458
Dy 0.881 0.119 0.750
Pd 0.251 0.749 0.130
Pd 0.251 0.749 0.370
Pd 0.749 0.251 0.630
Pd 0.749 0.251 0.870

ΔE_f: -2.95 eV per formula unit
DOS(E_F): 16.3 states/eV per cell


[5]
## TbDy4Pd5 (PBE)

Data for an optimized crystal structure of TbDy4Pd5.

Cell: 3.477 3.477 17.895 Å, 90.00 90.00 90.00°
Element x y z (fractional)
Tb 0.000 0.000 0.000
Dy 0.000 0.000 0.201
Dy 0.000 0.000 0.400
Dy 0.000 0.000 0.600
Dy 0.000 0.000 0.799
Pd 0.500 0.500 0.101
Pd 0.500 0.500 0.300
Pd 0.500 0.500 0.500
Pd 0.500 0.500 0.700
Pd 0.500 0.500 0.899

ΔE_f: -8.76 eV per formula unit
DOS(E_F): 7.7 states/eV per cell


[6]
## TbDy2Pd9 (PBE)

Data for an optimized crystal structure of TbDy2Pd9.

Cell: 4.127 4.127 12.379 Å, 90.00 90.00 90.00°
Element x y z (fractional)
Tb 0.000 0.000 0.000
Dy 0.000 0.000 0.334
Dy 0.000 0.000 0.666
Pd 0.000 0.500 0.167
Pd 0.000 0.500 0.500
Pd 0.000 0.500 0.833
Pd 0.500 0.000 0.167
Pd 0.500 0.000 0.500
Pd 0.500 0.000 0.833
Pd 0.500 0.500 0.000
Pd 0.500 0.500 0.333
Pd 0.500 0.500 0.667

ΔE_f: -10.44 eV per formula unit
DOS(E_F): 9.0 states/eV per cell